[1]
Ba2As2S5: relaxed, GGA-PBEsol.

Crystal system   orthorhombic
ΔE_f (raw)   -1114 meV/atom
Space-group type   Pca2_1

a b c (Å): 9.149 11.832 17.205
angles (deg): 90.00 90.00 90.00
Fractional positions:
S 0.950 0.707 0.463
S 0.251 0.930 0.552
S 0.788 0.976 0.574
S 0.055 0.599 0.787
S 0.765 0.157 0.870
S 0.239 0.157 0.882
S 0.050 0.707 0.963
S 0.251 0.430 0.948
S 0.755 0.381 0.696
S 0.489 0.075 0.744
S 0.245 0.381 0.196
S 0.212 0.476 0.426
S 0.239 0.657 0.618
S 0.755 0.881 0.804
S 0.520 0.240 0.004
S 0.055 0.099 0.713
S 0.511 0.075 0.244
S 0.950 0.207 0.037
S 0.480 0.740 0.996
S 0.050 0.207 0.537
S 0.235 0.657 0.130
S 0.480 0.240 0.504
S 0.749 0.930 0.052
S 0.749 0.430 0.448
S 0.249 0.353 0.681
S 0.212 0.976 0.074
S 0.751 0.853 0.319
S 0.245 0.881 0.304
S 0.249 0.853 0.819
S 0.761 0.657 0.118
S 0.761 0.157 0.382
S 0.945 0.099 0.213
S 0.765 0.657 0.630
S 0.511 0.575 0.256
S 0.489 0.575 0.756
S 0.520 0.740 0.496
S 0.751 0.353 0.181
S 0.945 0.599 0.287
S 0.788 0.476 0.926
S 0.235 0.157 0.370
As 0.723 0.751 0.006
As 0.723 0.251 0.494
As 0.729 0.062 0.759
As 0.271 0.562 0.241
As 0.861 0.143 0.626
As 0.766 0.178 0.130
As 0.139 0.643 0.374
As 0.277 0.751 0.506
As 0.271 0.062 0.259
As 0.729 0.562 0.741
As 0.766 0.678 0.370
As 0.277 0.251 0.994
As 0.234 0.178 0.630
As 0.861 0.643 0.874
As 0.234 0.678 0.870
As 0.139 0.143 0.126
Ba 0.496 0.990 0.924
Ba 0.999 0.978 0.927
Ba 0.987 0.333 0.322
Ba 0.500 0.825 0.175
Ba 0.504 0.490 0.076
Ba 0.013 0.833 0.678
Ba 0.500 0.325 0.825
Ba 0.500 0.325 0.325
Ba 0.496 0.490 0.576
Ba 0.013 0.333 0.822
Ba 0.987 0.833 0.178
Ba 0.001 0.478 0.073
Ba 0.999 0.478 0.573
Ba 0.500 0.825 0.675
Ba 0.001 0.978 0.427
Ba 0.504 0.990 0.424


[2]
LiRe2PdSe: relaxed, GGA-PBEsol.

Crystal system   tetragonal
ΔE_f (raw)   1313 meV/atom
D(E_F)   1.232 states/eV per atom
Space-group type   P4/mmm

a b c (Å): 4.527 4.527 4.643
angles (deg): 90.00 90.00 90.00
Fractional positions:
Se 0.000 0.000 0.000
Li 0.500 0.500 0.500
Pd 0.000 0.000 0.500
Re 0.000 0.500 0.000
Re 0.500 0.000 0.000


[3]
CdWNF2: relaxed, GGA-PBEsol.

Crystal system   tetragonal
ΔE_f (raw)   716 meV/atom
D(E_F)   0.909 states/eV per atom
Space-group type   P4/mmm

a b c (Å): 4.021 4.021 4.697
angles (deg): 90.00 90.00 90.00
Fractional positions:
F 0.000 0.500 0.000
F 0.500 0.000 0.000
N 0.000 0.000 0.500
Cd 0.000 0.000 0.000
W 0.500 0.500 0.500


[4]
ScAl: relaxed, GGA-PBEsol.

Crystal system   trigonal
D(E_F)   0.932 states/eV per atom
Uncorrected energy   -0.201 hartree per atom
Space-group type   P-3m1

a b c (Å): 3.120 3.120 9.462
angles (deg): 90.00 90.00 120.00
Fractional positions:
Al 0.667 0.333 0.887
Al 0.333 0.667 0.113
Sc 0.333 0.667 0.639
Sc 0.667 0.333 0.361


[5]
Ta2CuSi: relaxed, GGA-PBEsol.

Crystal system   trigonal
ΔE_f (raw)   89 meV/atom
D(E_F)   0.659 states/eV per atom
Space-group type   R-3m

a b c (Å): 2.821 2.821 9.050
angles (deg): 81.03 81.03 60.00
Fractional positions:
Ta 0.750 0.750 0.751
Ta 0.250 0.250 0.249
Cu 0.500 0.500 0.500
Si 0.000 0.000 0.000


[6]
CaHgPb: relaxed, GGA-PBEsol.

Crystal system   trigonal
D(E_F)   0.439 states/eV per atom
Uncorrected energy   -0.098 hartree per atom
Space-group type   P3m1

a b c (Å): 3.764 4.970 4.970
angles (deg): 120.00 90.00 90.00
Fractional positions:
Pb 0.407 0.667 0.333
Hg 0.610 0.333 0.667
Ca 0.982 0.000 0.000


[7]
Co7W6: relaxed, GGA-PBEsol.

Crystal system   trigonal
D(E_F)   0.947 states/eV per atom
Uncorrected energy   -0.390 hartree per atom
Space-group type   R-3m

a b c (Å): 4.693 4.693 8.857
angles (deg): 74.63 74.63 60.00
Fractional positions:
Co 0.590 0.090 0.730
Co 0.910 0.410 0.270
Co 0.410 0.410 0.270
Co 0.410 0.910 0.270
Co 0.500 0.500 0.500
Co 0.090 0.590 0.730
Co 0.590 0.590 0.730
W 0.847 0.847 0.460
W 0.334 0.334 0.997
W 0.050 0.050 0.850
W 0.666 0.666 0.003
W 0.153 0.153 0.540
W 0.950 0.950 0.150


[8]
SiPb2Br: relaxed, GGA-PBEsol.

Crystal system   trigonal
ΔE_f (raw)   160 meV/atom
D(E_F)   0.397 states/eV per atom
Space-group type   R3m
Energy above the most stable polymorph in this dataset   160 meV per atom

a b c (Å): 3.456 3.456 10.167
angles (deg): 80.21 80.21 60.00
Fractional positions:
Si 0.505 0.505 0.484
Pb 0.998 0.998 0.007
Pb 0.761 0.761 0.718
Br 0.236 0.236 0.291